Material: SmGdLuOs
Method: DFT, PBE
State: optimized geometry

Lattice parameters (Å, degrees): 7.2810 7.2810 7.2810 90.00 90.00 90.00
Space group F-43m (No. 216)
Symmetry-distinct sites (fractional):
Sm  0.0000  0.0000  0.0000 (multiplicity 4)
Gd  0.0000  0.0000  0.5000 (multiplicity 4)
Lu  0.2500  0.2500  0.7500 (multiplicity 4)
Os  0.2500  0.2500  0.2500 (multiplicity 4)

Results
DFT formation energy (eV/atom): 0.155

---

Material: Li2CaSi
Method: DFT, PBE
State: optimized geometry

Lattice parameters (Å, degrees): 3.5540 4.4643 5.8966 90.00 107.31 90.00
Space group Pm (No. 6)
Symmetry-distinct sites (fractional):
Li  0.0000  0.0000  0.0000 (multiplicity 1)
Li  0.4313  0.5000  0.8630 (multiplicity 1)
Ca  0.7137  0.0000  0.4306 (multiplicity 1)
Si  0.1160  0.5000  0.2333 (multiplicity 1)

Results
Total energy (eV for the cell shown): -11.8

---

Material: LuPaZnCo
Method: DFT, PBE
State: optimized geometry

Lattice parameters (Å, degrees): 6.8105 6.8105 6.8105 90.00 90.00 90.00
Space group F-43m (No. 216)
Symmetry-distinct sites (fractional):
Lu  0.0000  0.0000  0.0000 (multiplicity 4)
Pa  0.0000  0.0000  0.5000 (multiplicity 4)
Zn  0.2500  0.2500  0.7500 (multiplicity 4)
Co  0.2500  0.2500  0.2500 (multiplicity 4)

Results
DFT formation energy (eV/atom): -0.081

---

Material: Ce2Th3Ge4
Method: DFT, PBE
State: optimized geometry

Lattice parameters (Å, degrees): 8.0855 7.9660 7.8515 90.00 112.87 90.00
Space group P2_1/c (No. 14)
Symmetry-distinct sites (fractional):
Ce  0.2366  0.1689  0.2151 (multiplicity 4)
Th  0.2039  0.6813  0.0638 (multiplicity 4)
Th  0.5000  0.0000  0.0000 (multiplicity 2)
Ge  0.0825  0.0330  0.8190 (multiplicity 4)
Ge  0.4973  0.6233  0.8802 (multiplicity 4)

Results
DFT formation energy (eV/atom): -0.712

---

Material: MgTcPPd2
Method: DFT, PBE
State: optimized geometry

Lattice parameters (Å, degrees): 4.4700 4.4700 4.4229 90.00 90.00 90.00
Space group P4/mmm (No. 123)
Symmetry-distinct sites (fractional):
Mg  0.0000  0.0000  0.0000 (multiplicity 1)
Tc  0.5000  0.5000  0.0000 (multiplicity 1)
P  0.5000  0.5000  0.5000 (multiplicity 1)
Pd  0.0000  0.5000  0.5000 (multiplicity 2)

Results
DFT formation energy (eV/atom): -0.168

---

Material: ReNi2Hg
Method: DFT, PBE
State: optimized geometry

Lattice parameters (Å, degrees): 2.8027 2.8027 25.8327 90.00 90.00 120.00
Space group R-3m (No. 166, hexagonal axes)
Symmetry-distinct sites (fractional):
Re  0.0000  0.0000  0.0000 (multiplicity 3)
Ni  0.0000  0.0000  0.2563 (multiplicity 6)
Hg  0.0000  0.0000  0.5000 (multiplicity 3)

Results
DFT formation energy (eV/atom): 0.291

---

Material: Be3IrI
Method: DFT, PBE
State: optimized geometry

Lattice parameters (Å, degrees): 4.4139 4.4139 4.4139 90.00 90.00 90.00
Space group Pm-3m (No. 221)
Symmetry-distinct sites (fractional):
Be  0.0000  0.0000  0.5000 (multiplicity 3)
Ir  0.0000  0.0000  0.0000 (multiplicity 1)
I  0.5000  0.5000  0.5000 (multiplicity 1)

Results
Total energy (eV for the cell shown): -18.9

---

Material: CsCaVNi2
Method: DFT, PBE
State: optimized geometry

Lattice parameters (Å, degrees): 4.8565 4.8565 5.5750 90.00 90.00 90.00
Space group P4/mmm (No. 123)
Symmetry-distinct sites (fractional):
Cs  0.0000  0.0000  0.0000 (multiplicity 1)
Ca  0.0000  0.0000  0.5000 (multiplicity 1)
V  0.5000  0.5000  0.5000 (multiplicity 1)
Ni  0.0000  0.5000  0.0000 (multiplicity 2)

Results
DFT formation energy (eV/atom): 1.935

---

Material: Sr2ScBiO5
Method: DFT, PBE
State: optimized geometry

Lattice parameters (Å, degrees): 3.4882 15.2588 10.5824 90.00 90.00 90.00
Space group Cmc2_1 (No. 36)
Symmetry-distinct sites (fractional):
Sr  0.0000  0.1171  0.0000 (multiplicity 4)
Sr  0.0000  0.1373  0.6033 (multiplicity 4)
Sc  0.0000  0.2239  0.3258 (multiplicity 4)
Bi  0.0000  0.4641  0.7792 (multiplicity 4)
O  0.0000  0.0891  0.3787 (multiplicity 4)
O  0.0000  0.2728  0.9566 (multiplicity 4)
O  0.0000  0.3213  0.6989 (multiplicity 4)
O  0.0000  0.3540  0.2957 (multiplicity 4)
O  0.0000  0.4956  0.5734 (multiplicity 4)

Results
Total energy (eV for the cell shown): -240.9

---

Magnetization across the listed records, respectively: 7.2 0.3 0.0 0.9 0.0 0.0 0.0 3.9 0.0 μB/f.u..